Record 1
Density functional theory data (PBE) for crystalline PdPtF2 at its relaxed geometry.

The calculation puts the polymorph energy (0 for the lowest one) at 0 meV per atom. The raw formation energy comes out at -581 meV per atom. The volume is 160.2 Å³/cell. The value obtained for the magnetic moment is 0.7 μB per formula unit. The value obtained for the energy is -51.90 eV per cell. Its density of states at the Fermi level is 1.092 states/eV/atom.

The space group is R-3m (No. 166, hexagonal axes) and the conventional cell measures 2.7884, 2.7884 and 23.7946 Å, with angles of 90.00, 90.00 and 120.00 degrees. The inequivalent atoms are Pd at (0.0000, 0.0000, 0.0000), Pt at (0.0000, 0.0000, 0.5000) and F at (0.0000, 0.0000, 0.4157).

=====

Record 2
Density functional theory data (PBE) for crystalline RbLiCo2Cl6 at its relaxed geometry.

The raw formation energy comes out at -1078 meV per atom. The volume is 1222.2 Å³/cell. The value obtained for the magnetic moment is 6.0 μB per formula unit. The value obtained for the energy is -155.80 eV per cell.

The space group is C2/c (No. 15) and the conventional cell measures 13.741, 13.819 and 7.108 Å, with angles of 90.00, 115.10 and 90.00 degrees. The inequivalent atoms are Rb at (0.000, 0.116, 0.250), Li at (0.000, 0.225, 0.750), Co at (0.194, 0.426, 0.080), Cl at (0.100, 0.293, 0.082), Cl at (0.126, 0.095, 0.748) and Cl at (0.148, 0.449, 0.733).

=====

Record 3
Density functional theory data (PBE) for crystalline Rb2CrSbS4 at its relaxed geometry.

The raw formation energy comes out at -705 meV per atom. The volume is 466.3 Å³/cell. The value obtained for the magnetic moment is 3.0 μB per formula unit. The value obtained for the energy is -75.66 eV per cell. Its density of states at the Fermi level is 0.401 states/eV/atom.

The space group is C2 (No. 5) and the conventional cell measures 9.831, 8.294 and 7.162 Å, with angles of 90.00, 127.01 and 90.00 degrees. The inequivalent atoms are Rb at (0.000, 0.000, 0.000), Rb at (0.000, 0.276, 0.500), Cr at (0.000, 0.781, 0.500), Sb at (0.000, 0.488, 0.000), S at (0.135, 0.667, 0.871) and S at (0.211, 0.930, 0.562).

=====

Record 4
Density functional theory data (PBE) for crystalline Ce2CdAg3 at its relaxed geometry.

The calculation puts the polymorph energy (0 for the lowest one) at 0 meV per atom. The volume is 1097.9 Å³/cell. The value obtained for the magnetic moment is 1.7 μB per formula unit. As for the formation energy: -187.1 meV/atom. The value obtained for the energy is -179.68 eV per cell. Its density of states at the Fermi level is 2.016 states/eV/atom.

The space group is Fmmm (No. 69) and the conventional cell measures 6.361, 9.985 and 17.287 Å, with angles of 90.00, 90.00 and 90.00 degrees. The inequivalent atoms are Ce at (0.228, 0.000, 0.000), Ce at (0.250, 0.250, 0.250), Cd at (0.000, 0.000, 0.335), Ag at (0.000, 0.000, 0.167) and Ag at (0.000, 0.248, 0.417).